Record 1
4
Lattice="1.3761 0.7945 9.0271 -1.3761 0.7945 9.0271 0.0000 -1.5890 9.0271" Properties=species:S:1:pos:R:3 comment="Tc2IrPt GGA-PBE relaxed" de_polymorph_mev_per_atom=147 e_form_mev_per_atom=-62 total_magnetization_mub_per_fu=0.00 vol_a3_per_atom=14.80 pbc="T T T"
Tc 0.0000 0.0000 0.0000
Tc 0.0000 0.0000 6.8365
Ir 0.0000 0.0000 13.6917
Pt 0.0000 0.0000 20.3441

Record 2
4
Lattice="0.0000 3.1449 3.1449 3.1449 0.0000 3.1449 3.1449 3.1449 0.0000" Properties=species:S:1:pos:R:3 comment="TcIrPt2 GGA-PBE relaxed" de_polymorph_mev_per_atom=466 e_form_mev_per_atom=290 total_magnetization_mub_per_fu=2.02 vol_a3_per_atom=15.55 pbc="T T T"
Tc 0.0000 0.0000 0.0000
Ir 4.7174 4.7174 4.7174
Pt 1.5725 1.5725 1.5725
Pt 3.1449 3.1449 3.1449

Record 3
5
Lattice="4.7053 0.0000 0.0000 0.0000 4.7053 0.0000 0.0000 0.0000 4.7053" Properties=species:S:1:pos:R:3 comment="TcIrPt3 GGA-PBE relaxed" de_polymorph_mev_per_atom=64 e_form_mev_per_atom=1758 total_magnetization_mub_per_fu=0.36 vol_a3_per_atom=20.84 pbc="T T T"
Tc 0.0000 0.0000 0.0000
Ir 2.3527 2.3527 2.3527
Pt 0.0000 0.0000 2.3527
Pt 0.0000 2.3527 0.0000
Pt 2.3527 0.0000 0.0000

Record 4
4
Lattice="2.7598 -3.9503 0.0000 2.7598 3.9503 0.0000 0.0000 0.0000 2.7555" Properties=species:S:1:pos:R:3 comment="TcIrPt2 GGA-PBE relaxed" de_polymorph_mev_per_atom=179 e_form_mev_per_atom=4 total_magnetization_mub_per_fu=0.00 vol_a3_per_atom=15.02 pbc="T T T"
Tc 0.0000 0.0000 0.0000
Ir 2.7598 0.0000 0.0000
Pt 1.3799 1.9752 1.3778
Pt 1.3799 -1.9752 1.3778